No. 1
Below is an optimized crystal structure of Zr3GaTe, with properties calculated at the GGA-PBE level.

Properties
SG ... Pm-3m (221)
ΔE_f (raw) ... 0.26 eV per atom
Raw total energy ... -30.51 eV/f.u.
Magnetization ... 0.0 μB/f.u.
Volume ... 128 Å³/cell
Crystal system ... cubic

a b c (Å): 5.039 5.039 5.039
angles (deg): 90.00 90.00 90.00
Fractional positions:
Zr  0.000  0.500  0.000
Ga  0.000  0.000  0.000
Te  0.500  0.500  0.500
Zr  0.500  0.000  0.000
Zr  0.000  0.000  0.500

***

No. 2
Below is an optimized crystal structure of LaTiS2, with properties calculated at the GGA-PBE level.

Properties
SG ... Fm-3m (225)
ΔE_f (raw) ... -1.30 eV per atom
Raw total energy ... -26.28 eV/f.u.
Magnetization ... 1.0 μB/f.u.
Volume ... 77 Å³/cell
Crystal system ... cubic

a b c (Å): 4.770 4.770 4.770
angles (deg): 60.00 60.00 60.00
Last column: magnetic moment on the atom in μB.
Fractional positions:
La  0.500  0.500  0.500  0.03
S  0.750  0.750  0.750  -0.02
Ti  0.000  0.000  0.000  0.84
S  0.250  0.250  0.250  -0.02

***

No. 3
Below is an optimized crystal structure of NaHfTe2I, with properties calculated at the GGA-PBE level.

Properties
SG ... P4/mmm (123)
ΔE_f (raw) ... -0.60 eV per atom
Raw total energy ... -22.10 eV/f.u.
Magnetization ... 0.0 μB/f.u.
Volume ... 184 Å³/cell
Crystal system ... tetragonal

a b c (Å): 5.609 5.609 5.851
angles (deg): 90.00 90.00 90.00
Fractional positions:
I  0.000  0.000  0.500
Te  0.500  0.000  0.000
Hf  0.000  0.000  0.000
Na  0.500  0.500  0.500
Te  0.000  0.500  0.000

***

No. 4
Below is an optimized crystal structure of MoRhSe2, with properties calculated at the GGA-PBE level.

Properties
SG ... R-3m (166)
ΔE_f (raw) ... -0.09 eV per atom
Raw total energy ... -25.52 eV/f.u.
Magnetization ... 0.0 μB/f.u.
Volume ... 73 Å³/cell
Crystal system ... trigonal

a b c (Å): 8.479 8.479 8.479
angles (deg): 21.64 21.64 21.64
Fractional positions:
Mo  0.500  0.500  0.500
Se  0.096  0.096  0.096
Se  0.904  0.904  0.904
Rh  0.000  0.000  0.000

***

No. 5
Below is an optimized crystal structure of CuNiPCl2, with properties calculated at the GGA-PBE level.

Properties
SG ... P4/mmm (123)
ΔE_f (raw) ... 0.41 eV per atom
Raw total energy ... -16.91 eV/f.u.
Magnetization ... 0.4 μB/f.u.
Volume ... 96 Å³/cell
Crystal system ... tetragonal

a b c (Å): 4.660 4.660 4.416
angles (deg): 90.00 90.00 90.00
Last column: magnetic moment on the atom in μB.
Fractional positions:
P  0.000  0.000  0.500  0.11
Cl  0.000  0.500  0.000  0.03
Cu  0.500  0.500  0.500  0.01
Ni  0.000  0.000  0.000  0.01
Cl  0.500  0.000  0.000  0.03

***

No. 6
Below is an optimized crystal structure of Ba2AlTeRh, with properties calculated at the GGA-PBE level.

Properties
SG ... P4/mmm (123)
ΔE_f (raw) ... -0.76 eV per atom
Raw total energy ... -21.89 eV/f.u.
Magnetization ... 0.0 μB/f.u.
Volume ... 173 Å³/cell
Crystal system ... tetragonal

a b c (Å): 6.006 6.006 4.792
angles (deg): 90.00 90.00 90.00
Fractional positions:
Rh  0.000  0.000  0.000
Ba  0.000  0.500  0.000
Al  0.000  0.000  0.500
Te  0.500  0.500  0.500
Ba  0.500  0.000  0.000

***

No. 7
Below is an optimized crystal structure of PaZnSbPd, with properties calculated at the GGA-PBE level.

Properties
SG ... F-43m (216)
ΔE_f (raw) ... -0.30 eV per atom
Raw total energy ... -21.30 eV/f.u.
Magnetization ... 0.0 μB/f.u.
Volume ... 82 Å³/cell
Crystal system ... cubic

a b c (Å): 4.878 4.878 4.878
angles (deg): 60.00 60.00 60.00
Fractional positions:
Pd  0.750  0.750  0.750
Pa  0.000  0.000  0.000
Sb  0.500  0.500  0.500
Zn  0.250  0.250  0.250

***

No. 8
Below is an optimized crystal structure of AsWCl2, with properties calculated at the GGA-PBE level.

Properties
SG ... C2/m (12)
ΔE_f (raw) ... 0.71 eV per atom
Raw total energy ... -18.44 eV/f.u.
Magnetization ... 1.7 μB/f.u.
Volume ... 73 Å³/cell
Crystal system ... monoclinic

a b c (Å): 4.708 5.323 3.459
angles (deg): 72.25 87.41 115.31
Last column: magnetic moment on the atom in μB.
Fractional positions:
As  0.500  0.500  0.000  -0.09
Cl  0.000  0.000  0.000  0.01
W  0.000  0.500  0.500  1.45
Cl  0.500  0.000  0.500  0.01

***

No. 9
Below is an optimized crystal structure of La10Co3Pb2, with properties calculated at the GGA-PBE level.

Properties
SG ... C2/m (12)
ΔE_f ... -253 meV/atom
Raw total energy ... -81.80 eV/f.u.
Magnetization ... 0.0 μB/f.u.
Volume ... 923 Å³/cell
Crystal system ... monoclinic

a b c (Å): 7.525 10.499 13.119
angles (deg): 110.70 106.67 90.00
Fractional positions:
La  0.016  0.180  0.032
Co  0.691  0.000  0.000
La  0.108  0.527  0.699
Pb  0.266  0.698  0.532
La  0.759  0.702  0.518
La  0.000  0.000  0.500
Co  0.076  0.466  0.152
Pb  0.372  0.252  0.745
La  0.391  0.050  0.226
La  0.835  0.050  0.226
La  0.129  0.741  0.257
Co  0.179  0.025  0.358
Pb  0.734  0.302  0.468
Pb  0.628  0.748  0.255
Co  0.924  0.534  0.848
Co  0.309  0.000  0.000
La  0.871  0.259  0.743
La  0.490  0.777  0.981
La  0.510  0.223  0.019
La  0.165  0.950  0.774
La  0.241  0.298  0.482
Co  0.821  0.975  0.642
La  0.590  0.527  0.699
La  0.609  0.950  0.774
La  0.256  0.500  0.000
La  0.410  0.473  0.301
La  0.984  0.820  0.968
La  0.892  0.473  0.301
La  0.744  0.500  0.000
La  0.500  0.000  0.500

***

No. 10
Below is an optimized crystal structure of Nd4SmRu2, with properties calculated at the GGA-PBE level.

Properties
SG ... P2_1/m (11)
ΔE_f ... -108 meV/atom
Raw total energy ... -43.10 eV/f.u.
Magnetization ... 0.0 μB/f.u.
Volume ... 393 Å³/cell
Crystal system ... monoclinic

a b c (Å): 6.639 7.992 8.020
angles (deg): 112.60 90.00 90.00
Fractional positions:
Nd  0.750  0.761  0.680
Nd  0.497  0.587  0.242
Nd  0.003  0.587  0.242
Sm  0.750  0.163  0.030
Sm  0.250  0.837  0.970
Ru  0.750  0.745  0.016
Nd  0.250  0.239  0.320
Ru  0.250  0.255  0.984
Nd  0.503  0.413  0.758
Nd  0.997  0.413  0.758
Nd  0.250  0.978  0.624
Ru  0.250  0.629  0.593
Nd  0.750  0.022  0.376
Ru  0.750  0.371  0.407

***

No. 11
Below is an optimized crystal structure of LaTeHI2, with properties calculated at the GGA-PBE level.

Properties
SG ... P4/mmm (123)
Raw total energy ... -16.38 eV/f.u.
Magnetization ... 0.0 μB/f.u.
Volume ... 135 Å³/cell
Crystal system ... tetragonal

a b c (Å): 5.718 5.718 4.133
angles (deg): 90.00 90.00 90.00
Fractional positions:
La  0.500  0.500  0.500
Te  0.000  0.000  0.500
H  0.000  0.000  0.000
I  0.000  0.500  0.000
I  0.500  0.000  0.000

***

No. 12
Below is an optimized crystal structure of ZrSBr2, with properties calculated at the GGA-PBE level.

Properties
SG ... I-42d (122)
ΔE_f (raw) ... -1.06 eV per atom
Raw total energy ... -20.27 eV/f.u.
Magnetization ... 0.0 μB/f.u.
Volume ... 245 Å³/cell
Crystal system ... tetragonal

a b c (Å): 10.010 10.010 7.487
angles (deg): 48.05 48.05 90.00
Fractional positions:
Br  0.375  0.228  0.750
S  0.250  0.750  0.500
Zr  0.750  0.250  0.500
Br  0.875  0.022  0.750
Br  0.978  0.625  0.250
Br  0.772  0.125  0.250
S  0.500  0.500  0.000
Zr  0.000  0.000  0.000

***

No. 13
Below is an optimized crystal structure of PrHo2Zr, with properties calculated at the GGA-PBE level.

Properties
SG ... R-3m (166)
ΔE_f ... 326 meV/atom
Raw total energy ... -21.18 eV/f.u.
Magnetization ... 0.0 μB/f.u.
Volume ... 120 Å³/cell
Crystal system ... trigonal

a b c (Å): 3.381 3.381 12.266
angles (deg): 82.08 82.08 60.00
Fractional positions:
Ho  0.915  0.915  0.255
Ho  0.085  0.085  0.745
Zr  0.000  0.000  0.000
Pr  0.500  0.500  0.500

***

No. 14
Below is an optimized crystal structure of TmInI4, with properties calculated at the GGA-PBE level.

Properties
SG ... P-1 (2)
ΔE_f (raw) ... -1.06 eV per atom
Raw total energy ... -19.75 eV/f.u.
Magnetization ... 0.0 μB/f.u.
Volume ... 287 Å³/cell
Crystal system ... triclinic

a b c (Å): 4.444 7.895 8.669
angles (deg): 100.40 90.00 106.24
Fractional positions:
In  0.500  0.000  0.500
I  0.118  0.237  0.312
I  0.386  0.771  0.104
Tm  0.000  0.000  0.000
I  0.614  0.229  0.896
I  0.882  0.763  0.688

***

No. 15
Below is an optimized crystal structure of Rb5Sc2Se5, with properties calculated at the GGA-PBE level.

Properties
SG ... C2/m (12)
ΔE_f (raw) ... -1.26 eV per atom
Raw total energy ... -50.10 eV/f.u.
Magnetization ... 1.0 μB/f.u.
Volume ... 418 Å³/cell
Crystal system ... monoclinic

a b c (Å): 4.459 8.101 13.244
angles (deg): 65.66 80.31 74.02
Last column: magnetic moment on the atom in μB.
Fractional positions:
Sc  0.967  0.262  0.803  0.30
Rb  0.339  0.233  0.089  0.01
Rb  0.500  0.500  0.500  0.00
Se  0.893  0.862  0.351  -0.01
Sc  0.033  0.738  0.197  0.30
Se  0.630  0.531  0.210  -0.01
Se  0.000  0.000  0.000  -0.02
Se  0.107  0.138  0.649  -0.01
Rb  0.775  0.825  0.625  0.00
Rb  0.661  0.767  0.911  0.01
Rb  0.225  0.175  0.375  0.00
Se  0.370  0.469  0.790  -0.01

***

No. 16
Below is an optimized crystal structure of Nd3Te3Br, with properties calculated at the GGA-PBE level.

Properties
SG ... P4/mmm (123)
ΔE_f (raw) ... -1.51 eV per atom
Raw total energy ... -35.97 eV/f.u.
Magnetization ... 0.0 μB/f.u.
Volume ... 244 Å³/cell
Crystal system ... tetragonal

a b c (Å): 4.485 4.485 12.142
angles (deg): 90.00 90.00 90.00
Fractional positions:
Te  0.500  0.500  0.268
Nd  0.500  0.500  0.000
Te  0.500  0.500  0.732
Nd  0.000  0.000  0.739
Br  0.000  0.000  0.500
Te  0.000  0.000  0.000
Nd  0.000  0.000  0.261

***

No. 17
Below is an optimized crystal structure of CeThCdAg, with properties calculated at the GGA-PBE level.

Properties
SG ... F-43m (216)
ΔE_f ... -30 meV/atom
Raw total energy ... -17.24 eV/f.u.
Magnetization ... 2.0 μB/f.u.
Volume ... 109 Å³/cell
Crystal system ... cubic

a b c (Å): 5.361 5.361 5.361
angles (deg): 60.00 60.00 60.00
Last column: magnetic moment on the atom in μB.
Fractional positions:
Cd  0.750  0.750  0.750  0.01
Th  0.000  0.000  0.000  0.32
Ag  0.250  0.250  0.250  0.03
Ce  0.500  0.500  0.500  0.98

***

No. 18
Below is an optimized crystal structure of BaSeBr, with properties calculated at the GGA-PBE level.

Properties
SG ... P3m1 (156)
ΔE_f (raw) ... -1.29 eV per atom
Raw total energy ... -10.96 eV/f.u.
Magnetization ... 1.0 μB/f.u.
Volume ... 133 Å³/cell
Crystal system ... trigonal

a b c (Å): 5.128 5.128 5.862
angles (deg): 90.00 90.00 120.00
Last column: magnetic moment on the atom in μB.
Fractional positions:
Br  0.333  0.667  0.253  0.08
Ba  0.000  0.000  0.989  0.01
Se  0.667  0.333  0.758  0.50

***

No. 19
Below is an optimized crystal structure of LiCu3O3, with properties calculated at the GGA-PBE level.

Properties
SG ... P4/nmm (129)
ΔE_f (raw) ... -0.81 eV per atom
Raw total energy ... -34.74 eV/f.u.
Magnetization ... 0.3 μB/f.u.
Volume ... 146 Å³/cell
Crystal system ... tetragonal

a b c (Å): 3.959 3.959 9.318
angles (deg): 90.00 90.00 90.00
Last column: magnetic moment on the atom in μB.
Fractional positions:
Cu  0.500  0.500  0.000  0.01
Cu  0.000  0.500  0.204  0.01
O  0.500  0.000  0.482  0.08
Cu  0.000  0.000  0.500  0.20
O  0.500  0.500  0.200  0.00
Cu  0.500  0.000  0.796  0.01
O  0.500  0.500  0.800  0.00
O  0.000  0.000  0.800  0.00
O  0.000  0.500  0.518  0.08
Cu  0.000  0.000  0.000  0.01
Li  0.500  0.000  0.255  0.00
Cu  0.500  0.500  0.500  0.20
Li  0.000  0.500  0.745  0.00
O  0.000  0.000  0.200  0.00

***

No. 20
Below is an optimized crystal structure of GaAsSN2, with properties calculated at the GGA-PBE level.

Properties
SG ... P4/mmm (123)
ΔE_f (raw) ... 1.04 eV per atom
Raw total energy ... -23.24 eV/f.u.
Magnetization ... 0.6 μB/f.u.
Volume ... 79 Å³/cell
Crystal system ... tetragonal

a b c (Å): 3.656 3.656 5.932
angles (deg): 90.00 90.00 90.00
Last column: magnetic moment on the atom in μB.
Fractional positions:
S  0.000  0.000  0.500  -0.01
Ga  0.500  0.500  0.500  -0.01
N  0.000  0.500  0.000  0.24
As  0.000  0.000  0.000  -0.01
N  0.500  0.000  0.000  0.24

***

No. 21
Below is an optimized crystal structure of Nb2SiB, with properties calculated at the GGA-PBE level.

Properties
SG ... I-42d (122)
ΔE_f (raw) ... -0.05 eV per atom
Raw total energy ... -32.44 eV/f.u.
Magnetization ... 0.0 μB/f.u.
Volume ... 118 Å³/cell
Crystal system ... tetragonal

a b c (Å): 6.492 6.492 5.380
angles (deg): 52.89 52.89 90.00
Fractional positions:
B  0.500  0.500  0.000
Nb  0.875  0.844  0.750
B  0.250  0.750  0.500
Nb  0.594  0.125  0.250
Nb  0.375  0.406  0.750
Nb  0.156  0.625  0.250
Si  0.750  0.250  0.500
Si  0.000  0.000  0.000

***

No. 22
Below is an optimized crystal structure of LaScSi2Tc, with properties calculated at the GGA-PBE level.

Properties
SG ... I-4m2 (119)
ΔE_f (raw) ... -0.66 eV per atom
Raw total energy ... -35.77 eV/f.u.
Magnetization ... 0.0 μB/f.u.
Volume ... 99 Å³/cell
Crystal system ... tetragonal

a b c (Å): 4.120 4.120 6.494
angles (deg): 108.50 108.50 90.00
Fractional positions:
Si  0.394  0.394  0.788
Si  0.606  0.606  0.212
Tc  0.750  0.250  0.500
Sc  0.250  0.750  0.500
La  0.000  0.000  0.000

***

No. 23
Below is an optimized crystal structure of MnPtSCl2, with properties calculated at the GGA-PBE level.

Properties
SG ... P4/mmm (123)
ΔE_f (raw) ... 0.56 eV per atom
Raw total energy ... -20.21 eV/f.u.
Magnetization ... 0.2 μB/f.u.
Volume ... 93 Å³/cell
Crystal system ... tetragonal

a b c (Å): 4.644 4.644 4.296
angles (deg): 90.00 90.00 90.00
Last column: magnetic moment on the atom in μB.
Fractional positions:
Pt  0.500  0.500  0.500  -0.01
Mn  0.000  0.000  0.000  -0.22
Cl  0.500  0.000  0.000  0.01
Cl  0.000  0.500  0.000  0.01
S  0.000  0.000  0.500  0.03

***

No. 24
Below is an optimized crystal structure of CrGe3Mo, with properties calculated at the GGA-PBE level.

Properties
SG ... Pm-3m (221)
ΔE_f ... 879 meV/atom
Raw total energy ... -29.91 eV/f.u.
Magnetization ... 5.3 μB/f.u.
Volume ... 99 Å³/cell
Crystal system ... cubic

a b c (Å): 4.626 4.626 4.626
angles (deg): 90.00 90.00 90.00
Last column: magnetic moment on the atom in μB.
Fractional positions:
Ge  0.000  0.000  0.500  0.00
Mo  0.500  0.500  0.500  3.40
Ge  0.000  0.500  0.000  -0.01
Cr  0.000  0.000  0.000  1.24
Ge  0.500  0.000  0.000  -0.02

***

No. 25
Below is an optimized crystal structure of K2BeAg, with properties calculated at the GGA-PBE level.

Properties
SG ... C2/m (12)
ΔE_f ... 756 meV/atom
Raw total energy ... -5.75 eV/f.u.
Magnetization ... 0.0 μB/f.u.
Volume ... 157 Å³/cell
Crystal system ... monoclinic

a b c (Å): 5.360 5.360 7.587
angles (deg): 76.89 76.89 48.09
Fractional positions:
Ag  0.750  0.750  0.750
K  0.499  0.499  0.500
K  0.001  0.001  0.000
Be  0.250  0.250  0.250

***

No. 26
Below is an optimized crystal structure of K3SnRu, with properties calculated at the GGA-PBE level.

Properties
SG ... Pm-3m (221)
ΔE_f ... 1088 meV/atom
Raw total energy ... -11.13 eV/f.u.
Magnetization ... 1.4 μB/f.u.
Volume ... 201 Å³/cell
Crystal system ... cubic

a b c (Å): 5.860 5.860 5.860
angles (deg): 90.00 90.00 90.00
Last column: magnetic moment on the atom in μB.
Fractional positions:
K  0.500  0.000  0.000  0.02
Ru  0.000  0.000  0.000  1.45
K  0.000  0.000  0.500  -0.01
K  0.000  0.500  0.000  0.01
Sn  0.500  0.500  0.500  -0.06